1.
A plane-wave DFT calculation with PBE was carried out for a relaxed structure of BaSiGe.

It has space group P3_2 (No. 145), with a = 6.3537 Å, b = 6.3537 Å, c = 8.4755 Å, α = 90.00°, β = 90.00° and γ = 120.00°. The distinct sites, in fractional coordinates, are Ba at (0.1690, 0.3396, 0.0000), Si at (0.3448, 0.1724, 0.6668) and Ge at (0.1757, 0.3542, 0.5012).

The calculation puts the energy above the most stable polymorph in this dataset at 271 meV per atom.



2.
A plane-wave DFT calculation with PBE was carried out for a relaxed structure of Ba2Si3Ge.

It has space group Fmmm (No. 69), with a = 8.440 Å, b = 9.983 Å, c = 15.213 Å, α = 90.00°, β = 90.00° and γ = 90.00°. The distinct sites, in fractional coordinates, are Ba at (0.000, 0.249, 0.000), Ba at (0.250, 0.250, 0.250), Si at (0.000, 0.000, 0.339), Si at (0.243, 0.000, 0.421) and Ge at (0.000, 0.000, 0.168).



3.
A plane-wave DFT calculation with PBE was carried out for a relaxed structure of Ba3Si2Ge3.

It has space group Cmcm (No. 63), with a = 4.750 Å, b = 12.261 Å, c = 16.363 Å, α = 90.00°, β = 90.00° and γ = 90.00°. The distinct sites, in fractional coordinates, are Ba at (0.000, 0.126, 0.250), Ba at (0.000, 0.150, 0.553), Si at (0.000, 0.418, 0.178), Ge at (0.000, 0.155, 0.750) and Ge at (0.000, 0.441, 0.573).

The calculation puts the energy above the most stable polymorph in this dataset at 0 meV per atom.



Energy relative to the elements, uncorrected (eV per atom)
-0.132, -0.354, -0.391